VASP calculation (PBE-GGA) on an optimized crystal structure of Pa2Ga2Hg.

```
data_Pa2Ga2Hg
_chemical_formula_sum 'Pa4 Ga4 Hg2'
_space_group_name_H-M_alt 'P 4/m b m'
_space_group_IT_number 127
_space_group_name_Hall '-P 4 2ab'
_cell_length_a 6.939
_cell_length_b 6.939
_cell_length_c 4.607
_cell_angle_alpha 90.00
_cell_angle_beta 90.00
_cell_angle_gamma 90.00
loop_
_atom_site_label
_atom_site_type_symbol
_atom_site_fract_x
_atom_site_fract_y
_atom_site_fract_z
Pa1 Pa 0.147 0.353 0.000
Ga1 Ga 0.139 0.639 0.500
Hg1 Hg 0.000 0.000 0.500
```

Computed properties:
**E_form**: -3.565 kcal/mol of atoms
**N(E_F)**: 15.3 states/eV per cell
**M_tot**: 0.00 μB/atom



VASP calculation (PBE-GGA) on an optimized crystal structure of YBe2SiRh.

```
data_YBe2SiRh
_chemical_formula_sum 'Y2 Be4 Si2 Rh2'
_space_group_name_H-M_alt 'I m m 2'
_space_group_IT_number 44
_space_group_name_Hall 'I 2 -2'
_cell_length_a 3.840
_cell_length_b 3.908
_cell_length_c 9.843
_cell_angle_alpha 90.00
_cell_angle_beta 90.00
_cell_angle_gamma 90.00
loop_
_atom_site_label
_atom_site_type_symbol
_atom_site_fract_x
_atom_site_fract_y
_atom_site_fract_z
Y1 Y 0.000 0.000 0.000
Be1 Be 0.000 0.000 0.380
Be2 Be 0.000 0.500 0.252
Si1 Si 0.000 0.000 0.618
Rh1 Rh 0.000 0.500 0.755
```

Computed properties:
**N(E_F)**: 4.5 states/eV per cell
**Uncorrected energy**: -59.00 eV/cell
**M_tot**: 0.00 μB/atom



VASP calculation (PBE-GGA) on an optimized crystal structure of NbFe3Br.

```
data_NbFe3Br
_chemical_formula_sum 'Nb1 Fe3 Br1'
_space_group_name_H-M_alt 'P m -3 m'
_space_group_IT_number 221
_space_group_name_Hall '-P 4 2 3'
_cell_length_a 4.671
_cell_length_b 4.671
_cell_length_c 4.671
_cell_angle_alpha 90.00
_cell_angle_beta 90.00
_cell_angle_gamma 90.00
loop_
_atom_site_label
_atom_site_type_symbol
_atom_site_fract_x
_atom_site_fract_y
_atom_site_fract_z
Nb1 Nb 0.000 0.000 0.000
Fe1 Fe 0.000 0.000 0.500
Br1 Br 0.500 0.500 0.500
```

Computed properties:
**N(E_F)**: 6.1 states/eV per cell
**Uncorrected energy**: -29.30 eV/cell
**M_tot**: 1.08 μB/atom



VASP calculation (PBE-GGA) on an optimized crystal structure of NaBeAgPt2.

```
data_NaBeAgPt2
_chemical_formula_sum 'Na1 Be1 Ag1 Pt2'
_space_group_name_H-M_alt 'P 4/m m m'
_space_group_IT_number 123
_space_group_name_Hall '-P 4 2'
_cell_length_a 4.288
_cell_length_b 4.288
_cell_length_c 4.551
_cell_angle_alpha 90.00
_cell_angle_beta 90.00
_cell_angle_gamma 90.00
loop_
_atom_site_label
_atom_site_type_symbol
_atom_site_fract_x
_atom_site_fract_y
_atom_site_fract_z
Na1 Na 0.000 0.000 0.000
Be1 Be 0.500 0.500 0.500
Ag1 Ag 0.500 0.500 0.000
Pt1 Pt 0.000 0.500 0.500
```

Computed properties:
**E_form**: -3.077 kcal/mol of atoms
**N(E_F)**: 1.2 states/eV per cell
**M_tot**: 0.00 μB/atom



VASP calculation (PBE-GGA) on an optimized crystal structure of Li2La2YPb2.

```
data_Li2La2YPb2
_chemical_formula_sum 'Li6 La6 Y3 Pb6'
_space_group_name_H-M_alt 'R -3 m'
_space_group_IT_number 166
_space_group_name_Hall '-R 3 2"'
_cell_length_a 4.8521
_cell_length_b 4.8521
_cell_length_c 27.9544
_cell_angle_alpha 90.00
_cell_angle_beta 90.00
_cell_angle_gamma 120.00
loop_
_atom_site_label
_atom_site_type_symbol
_atom_site_fract_x
_atom_site_fract_y
_atom_site_fract_z
Li1 Li 0.0000 0.0000 0.1025
La1 La 0.0000 0.0000 0.3679
Y1 Y 0.0000 0.0000 0.5000
Pb1 Pb 0.0000 0.0000 0.2312
```

Computed properties:
**E_form**: -8.518 kcal/mol of atoms
**N(E_F)**: 14.6 states/eV per cell
**M_tot**: 0.00 μB/atom



VASP calculation (PBE-GGA) on an optimized crystal structure of Pr5Ga2Bi.

```
data_Pr5Ga2Bi
_chemical_formula_sum 'Pr20 Ga8 Bi4'
_space_group_name_H-M_alt 'I 4/m c m'
_space_group_IT_number 140
_space_group_name_Hall '-I 4 2c'
_cell_length_a 8.549
_cell_length_b 8.549
_cell_length_c 13.397
_cell_angle_alpha 90.00
_cell_angle_beta 90.00
_cell_angle_gamma 90.00
loop_
_atom_site_label
_atom_site_type_symbol
_atom_site_fract_x
_atom_site_fract_y
_atom_site_fract_z
Pr1 Pr 0.000 0.000 0.000
Pr2 Pr 0.156 0.344 0.142
Ga1 Ga 0.145 0.355 0.500
Bi1 Bi 0.000 0.000 0.250
```

Computed properties:
**E_form**: -12.859 kcal/mol of atoms
**N(E_F)**: 30.8 states/eV per cell
**M_tot**: 0.00 μB/atom



VASP calculation (PBE-GGA) on an optimized crystal structure of YInIr2.

```
data_YInIr2
_chemical_formula_sum 'Y1 In1 Ir2'
_space_group_name_H-M_alt 'P 1 m 1'
_space_group_IT_number 6
_space_group_name_Hall 'P -2y'
_cell_length_a 3.362
_cell_length_b 4.405
_cell_length_c 5.530
_cell_angle_alpha 90.00
_cell_angle_beta 107.66
_cell_angle_gamma 90.00
loop_
_atom_site_label
_atom_site_type_symbol
_atom_site_fract_x
_atom_site_fract_y
_atom_site_fract_z
Y1 Y 0.000 0.000 0.000
In1 In 0.694 0.500 0.385
Ir1 Ir 0.269 0.000 0.533
Ir2 Ir 0.422 0.500 0.844
```

Computed properties:
**E_form**: -8.147 kcal/mol of atoms
**N(E_F)**: 2.4 states/eV per cell
**M_tot**: 0.00 μB/atom



VASP calculation (PBE-GGA) on an optimized crystal structure of Y3BeF.

```
data_Y3BeF
_chemical_formula_sum 'Y3 Be1 F1'
_space_group_name_H-M_alt 'P m -3 m'
_space_group_IT_number 221
_space_group_name_Hall '-P 4 2 3'
_cell_length_a 5.224
_cell_length_b 5.224
_cell_length_c 5.224
_cell_angle_alpha 90.00
_cell_angle_beta 90.00
_cell_angle_gamma 90.00
loop_
_atom_site_label
_atom_site_type_symbol
_atom_site_fract_x
_atom_site_fract_y
_atom_site_fract_z
Y1 Y 0.000 0.000 0.500
Be1 Be 0.000 0.000 0.000
F1 F 0.500 0.500 0.500
```

Computed properties:
**N(E_F)**: 5.5 states/eV per cell
**Uncorrected energy**: -25.29 eV/cell
**M_tot**: 0.00 μB/atom



VASP calculation (PBE-GGA) on an optimized crystal structure of Co2HRh.

```
data_Co2HRh
_chemical_formula_sum 'Co2 H1 Rh1'
_space_group_name_H-M_alt 'P 4/m m m'
_space_group_IT_number 123
_space_group_name_Hall '-P 4 2'
_cell_length_a 2.556
_cell_length_b 2.556
_cell_length_c 6.125
_cell_angle_alpha 90.00
_cell_angle_beta 90.00
_cell_angle_gamma 90.00
loop_
_atom_site_label
_atom_site_type_symbol
_atom_site_fract_x
_atom_site_fract_y
_atom_site_fract_z
Co1 Co 0.000 0.000 0.187
H1 H 0.500 0.500 0.000
Rh1 Rh 0.500 0.500 0.500
```

Computed properties:
**N(E_F)**: 4.8 states/eV per cell
**Uncorrected energy**: -23.70 eV/cell
**M_tot**: 0.94 μB/atom



VASP calculation (PBE-GGA) on an optimized crystal structure of Na2SrAlSn2.

```
data_Na2SrAlSn2
_chemical_formula_sum 'Na4 Sr2 Al2 Sn4'
_space_group_name_H-M_alt 'P m c 21'
_space_group_IT_number 26
_space_group_name_Hall 'P 2c -2'
_cell_length_a 4.752
_cell_length_b 9.122
_cell_length_c 8.088
_cell_angle_alpha 90.00
_cell_angle_beta 90.00
_cell_angle_gamma 90.00
loop_
_atom_site_label
_atom_site_type_symbol
_atom_site_fract_x
_atom_site_fract_y
_atom_site_fract_z
Na1 Na 0.000 0.075 0.000
Na2 Na 0.500 0.157 0.315
Sr1 Sr 0.500 0.443 0.980
Al1 Al 0.000 0.329 0.632
Sn1 Sn 0.000 0.376 0.271
Sn2 Sn 0.500 0.168 0.700
```

Computed properties:
**E_form**: -6.797 kcal/mol of atoms
**N(E_F)**: 7.8 states/eV per cell
**M_tot**: 0.00 μB/atom



VASP calculation (PBE-GGA) on an optimized crystal structure of Nd3In4Hg2.

```
data_Nd3In4Hg2
_chemical_formula_sum 'Nd6 In8 Hg4'
_space_group_name_H-M_alt 'C 1 2/m 1'
_space_group_IT_number 12
_space_group_name_Hall '-C 2y'
_cell_length_a 11.523
_cell_length_b 4.955
_cell_length_c 9.422
_cell_angle_alpha 90.00
_cell_angle_beta 115.65
_cell_angle_gamma 90.00
loop_
_atom_site_label
_atom_site_type_symbol
_atom_site_fract_x
_atom_site_fract_y
_atom_site_fract_z
Nd1 Nd 0.000 0.000 0.000
Nd2 Nd 0.169 0.500 0.661
In1 In 0.037 0.000 0.370
In2 In 0.230 0.500 0.066
Hg1 Hg 0.125 0.500 0.293
```

Computed properties:
**E_form**: -10.762 kcal/mol of atoms
**N(E_F)**: 13.0 states/eV per cell
**M_tot**: 0.00 μB/atom



VASP calculation (PBE-GGA) on an optimized crystal structure of Ho2Zn2Sn.

```
data_Ho2Zn2Sn
_chemical_formula_sum 'Ho4 Zn4 Sn2'
_space_group_name_H-M_alt 'I m m m'
_space_group_IT_number 71
_space_group_name_Hall '-I 2 2'
_cell_length_a 4.233
_cell_length_b 5.892
_cell_length_c 9.059
_cell_angle_alpha 90.00
_cell_angle_beta 90.00
_cell_angle_gamma 90.00
loop_
_atom_site_label
_atom_site_type_symbol
_atom_site_fract_x
_atom_site_fract_y
_atom_site_fract_z
Ho1 Ho 0.000 0.000 0.214
Zn1 Zn 0.000 0.293 0.500
Sn1 Sn 0.000 0.500 0.000
```

Computed properties:
**E_form**: -9.701 kcal/mol of atoms
**N(E_F)**: 8.9 states/eV per cell
**M_tot**: 0.00 μB/atom